Entry 1:
The following is a DFT calculation (PBE) of a geometry-optimized Zr2Co structure.

a = 7.522 Å, b = 7.522 Å, c = 7.522 Å
α = 60.00°, β = 60.00°, γ = 60.00°
Fractional positions:
Zr (0.000, 0.000, 0.000)
Zr (0.000, 0.000, 0.500)
Zr (0.000, 0.500, 0.000)
Zr (0.500, 0.000, 0.000)
Co (0.125, 0.125, 0.125)
Co (0.875, 0.875, 0.875)

Calculated values
E_tot = -0.449 Ry per atom
Calculated formation energy = 1.952 eV/atom
Magnetization = 0.53 μB/atom

Entry 2:
The following is a DFT calculation (PBE) of a geometry-optimized PmHf2 structure.

a = 9.046 Å, b = 9.046 Å, c = 9.046 Å
α = 60.00°, β = 60.00°, γ = 60.00°
Fractional positions:
Pm (0.125, 0.125, 0.125)
Pm (0.875, 0.875, 0.875)
Hf (0.000, 0.000, 0.000)
Hf (0.000, 0.000, 0.500)
Hf (0.000, 0.500, 0.000)
Hf (0.500, 0.000, 0.000)

Calculated values
E_tot = -0.352 Ry per atom
Calculated formation energy = 3.427 eV/atom
Magnetization = 0.00 μB/atom